Material: CdPd3Pb
Method: DFT, PBE-GGA
State: relaxed

Unit cell a=7.501 b=6.784 c=7.568 alpha=90.00 beta=90.00 gamma=90.00
Positions (direct):
Cd 0.000 0.500 0.000
Cd 0.500 0.000 0.500
Cd 0.500 0.000 0.000
Cd 0.000 0.500 0.500
Pd 0.848 0.137 0.049
Pd 0.652 0.637 0.549
Pd 0.652 0.637 0.951
Pd 0.152 0.863 0.549
Pd 0.152 0.863 0.951
Pd 0.348 0.363 0.451
Pd 0.348 0.363 0.049
Pd 0.848 0.137 0.451
Pd 0.134 0.222 0.750
Pd 0.366 0.722 0.250
Pd 0.866 0.778 0.250
Pd 0.634 0.278 0.750
Pb 0.345 0.592 0.750
Pb 0.155 0.092 0.250
Pb 0.655 0.408 0.250
Pb 0.845 0.908 0.750

DOS at the Fermi energy, states/eV/f.u.: 2.38
Excess energy over the best structure of this formula in the dataset, meV per atom: 62.6
Energy of formation from the pure elements, eV per atom: -0.17